(1)
DFT (GGA-PBE) results for a relaxed structure of Nd4GeTe2P.

Cell lengths 7.496, 4.330, 7.720 Å; angles 90.00, 108.87, 90.00 degrees
Positions (direct):
Nd: 0.237 0.000 0.218
Nd: 0.257 0.500 0.778
Nd: 0.743 0.500 0.222
Nd: 0.763 0.000 0.782
Ge: 0.500 0.000 0.000
Te: 0.000 0.000 0.500
Te: 0.500 0.500 0.500
P: 0.000 0.500 0.000

## Properties
uncorrected formation energy = -11.222 eV/f.u.
total energy = -5.826 eV per atom

(2)
DFT (GGA-PBE) results for a relaxed structure of NdThGeP.

Cell lengths 4.227, 4.227, 20.754 Å; angles 90.00, 90.00, 120.00 degrees
Positions (direct):
Nd: 0.000 0.000 0.000
Nd: 0.333 0.667 0.667
Nd: 0.667 0.333 0.333
Th: 0.000 0.000 0.496
Th: 0.333 0.667 0.162
Th: 0.667 0.333 0.829
Ge: 0.000 0.000 0.247
Ge: 0.333 0.667 0.914
Ge: 0.667 0.333 0.580
P: 0.000 0.000 0.750
P: 0.333 0.667 0.416
P: 0.667 0.333 0.083

## Properties
total energy = -6.707 eV per atom
energy relative to the elements = -26.60 kcal/mol of atoms

(3)
DFT (GGA-PBE) results for a relaxed structure of NdPaGe4.

Cell lengths 5.616, 5.616, 5.616 Å; angles 60.00, 60.00, 60.00 degrees
Positions (direct):
Nd: 0.000 0.000 0.000
Pa: 0.250 0.250 0.250
Ge: 0.126 0.625 0.625
Ge: 0.625 0.126 0.625
Ge: 0.625 0.625 0.126
Ge: 0.625 0.625 0.625

## Properties
total energy = -5.655 eV per atom
energy relative to the elements = -4.59 kcal/mol of atoms

(4)
DFT (GGA-PBE) results for a relaxed structure of NdPaGe2.

Cell lengths 3.371, 3.371, 8.124 Å; angles 90.00, 90.00, 90.00 degrees
Positions (direct):
Nd: 0.000 0.000 0.000
Pa: 0.000 0.000 0.500
Ge: 0.500 0.500 0.259
Ge: 0.500 0.500 0.741

## Properties
total energy = -6.355 eV per atom
energy relative to the elements = -11.07 kcal/mol of atoms